# MgRu4Pt

A relaxed structure of MgRu4Pt (PBE-GGA, Alexandria via LeMat-Bulk).

Results
* space-group type: No. 216
* energy of formation from the pure elements: 0.344 eV per atom
* total magnetic moment: 1.523 Bohr magnetons per cell

a = 5.107 Å, b = 5.107 Å, c = 5.107 Å
α = 60.00°, β = 60.00°, γ = 60.00°
Each line ends with the local moment (μB).
Positions (direct):
Pt 0.000 0.000 0.000  0.10
Ru 0.374 0.374 0.877  0.35
Ru 0.374 0.877 0.374  0.35
Ru 0.374 0.374 0.374  0.35
Ru 0.877 0.374 0.374  0.35
Mg 0.750 0.750 0.750  -0.01